An optimized crystal structure of SmSc2Cu. Source: Alexandria, functional PBE-GGA. Values from VASP.

Summary:
D(E_F): 4.9 states/eV/cell
distance to the lowest polymorph of the same formula: 0.150 eV/atom

Structure (Quantum ESPRESSO input):
```
&SYSTEM
  ibrav = 0, nat = 4, ntyp = 3
/
ATOMIC_SPECIES
Sc 44.96 Sc.upf
Sm 150.36 Sm.upf
Cu 63.55 Cu.upf
CELL_PARAMETERS angstrom
-2.089 0.288 2.725
-3.052 -1.600 0.008
2.272 -8.023 4.768
ATOMIC_POSITIONS angstrom
Sc -1.938 -7.408 5.833
Sc -0.932 -1.926 1.668
Sm -1.435 -4.667 3.750
Cu 0.000 0.000 0.000
```

***

An optimized crystal structure of Pr6GaHg. Source: Alexandria, functional PBE-GGA. Values from VASP.

Summary:
D(E_F): 10.1 states/eV/cell
total DFT energy (no corrections): -0.3111 Ry per atom

Structure (Quantum ESPRESSO input):
```
&SYSTEM
  ibrav = 0, nat = 8, ntyp = 3
/
ATOMIC_SPECIES
Pr 140.91 Pr.upf
Ga 69.72 Ga.upf
Hg 200.59 Hg.upf
CELL_PARAMETERS angstrom
5.095 0.001 1.535
-0.462 5.074 1.535
-0.163 -0.179 9.770
ATOMIC_POSITIONS angstrom
Pr 4.336 1.960 4.053
Pr 1.086 1.189 5.632
Pr 1.559 4.496 4.054
Pr 0.135 2.936 8.786
Ga 2.317 2.537 1.535
Pr 3.385 3.707 7.207
Pr 2.912 0.400 8.786
Hg 0.000 0.000 0.000
```

***

An optimized crystal structure of GaBRh2. Source: Alexandria, functional PBE-GGA. Values from VASP.

Summary:
D(E_F): 1.1 states/eV/cell
total DFT energy (no corrections): -0.4572 Ry per atom

Structure (Quantum ESPRESSO input):
```
&SYSTEM
  ibrav = 0, nat = 4, ntyp = 3
/
ATOMIC_SPECIES
B 10.81 B.upf
Ga 69.72 Ga.upf
Rh 102.91 Rh.upf
CELL_PARAMETERS angstrom
-2.603 0.673 1.146
-1.627 0.074 -3.737
-0.890 -3.966 0.308
ATOMIC_POSITIONS angstrom
B -1.302 0.337 0.573
Ga -2.560 -1.609 -1.141
Rh -0.445 -1.983 0.154
Rh -0.813 0.037 -1.868
```

***

An optimized crystal structure of Sc2TlTe. Source: Alexandria, functional PBE-GGA. Values from VASP.

Summary:
D(E_F): 2.7 states/eV/cell
uncorrected formation energy: -212 kJ/mol of formula units
distance to the lowest polymorph of the same formula: 0.098 eV/atom

Structure (Quantum ESPRESSO input):
```
&SYSTEM
  ibrav = 0, nat = 4, ntyp = 3
/
ATOMIC_SPECIES
Tl 204.38 Tl.upf
Sc 44.96 Sc.upf
Te 127.60 Te.upf
CELL_PARAMETERS angstrom
5.909 -0.007 -0.193
4.708 3.570 -0.193
0.098 0.033 4.661
ATOMIC_POSITIONS angstrom
Tl 2.741 0.920 0.481
Sc 8.080 2.711 2.622
Te 5.244 1.760 2.726
Sc 10.626 3.566 0.200
```

***

An optimized crystal structure of LiGa3I9. Source: Alexandria, functional PBE-GGA. Values from VASP.

Summary:
D(E_F): 2.1 states/eV/cell
uncorrected formation energy: -673 kJ/mol of formula units

Structure (Quantum ESPRESSO input):
```
&SYSTEM
  ibrav = 0, nat = 26, ntyp = 3
/
ATOMIC_SPECIES
I 126.90 I.upf
Ga 69.72 Ga.upf
Li 6.94 Li.upf
CELL_PARAMETERS angstrom
-3.709 -2.957 12.316
-1.720 -10.331 4.073
7.761 -6.056 7.955
ATOMIC_POSITIONS angstrom
I 4.518 -10.572 14.913
I -1.169 -7.932 9.130
Ga 2.361 -9.322 14.666
I 2.126 -6.948 15.872
I 2.381 -14.681 16.126
Li 1.667 -5.674 11.872
Ga -2.443 -5.009 13.151
I -0.609 -0.861 2.691
Ga 0.978 -6.731 7.854
I 0.293 -6.289 5.476
I 1.900 -8.576 12.224
Ga 1.393 -17.002 22.520
I -1.591 -14.011 17.468
I 5.532 -11.500 9.929
I 0.876 -4.611 9.348
I 0.800 -11.894 9.580
I 3.222 -14.554 11.792
Ga 1.074 -12.806 17.516
I 0.319 -10.723 15.655
I -3.067 -10.894 11.036
I -1.836 -7.442 14.084
I 3.200 -11.833 19.241
Li -3.813 -8.401 12.388
I 3.033 -8.149 8.280
Ga -1.304 -10.602 9.155
I -4.235 -12.301 14.734
```

***

An optimized crystal structure of SmDyGa5Pt2. Source: Alexandria, functional PBE-GGA. Values from VASP.

Summary:
D(E_F): 6.4 states/eV/cell
total DFT energy (no corrections): -0.3469 Ry per atom

Structure (Quantum ESPRESSO input):
```
&SYSTEM
  ibrav = 0, nat = 9, ntyp = 4
/
ATOMIC_SPECIES
Sm 150.36 Sm.upf
Dy 162.50 Dy.upf
Ga 69.72 Ga.upf
Pt 195.08 Pt.upf
CELL_PARAMETERS angstrom
-3.062 -1.436 -2.240
2.529 -2.631 -1.771
-2.192 -7.253 7.645
ATOMIC_POSITIONS angstrom
Sm -1.096 -3.626 3.822
Dy 0.000 0.000 0.000
Ga -3.117 -5.967 4.413
Pt -2.190 -8.398 4.703
Ga -1.362 -5.660 1.817
Ga -0.322 -6.565 4.648
Ga 0.659 -3.319 1.226
Ga -2.136 -2.721 0.992
Pt -0.535 -2.921 -1.070
```